No. 1
## Rb3ErI6 (PBE)

Data for a geometry-optimized Rb3ErI6 structure.

a = 9.9955 Å, b = 9.9955 Å, c = 9.9955 Å
α = 51.15°, β = 51.15°, γ = 51.15°
Closest atoms and distances in Å follow each position.
Positions (direct):
1 Er 0.0000 0.0000 0.0000  6 I 3.00
2 I 0.2308 0.7392 0.2308  1 Er 3.00
3 I 0.7392 0.2308 0.2308  1 Er 3.00
4 I 0.7692 0.7692 0.2608  1 Er 3.00
5 I 0.2308 0.2308 0.7392  1 Er 3.00
6 I 0.2608 0.7692 0.7692  1 Er 3.00
7 I 0.7692 0.2608 0.7692  1 Er 3.00
8 Rb 0.2906 0.2906 0.2906  3 I 3.81
9 Rb 0.5000 0.5000 0.5000  6 I 3.62
10 Rb 0.7094 0.7094 0.7094  3 I 3.81

Properties
space group = R-3m
total energy = -0.2284 Ry per atom


No. 2
## YInAu (PBE)

Data for a geometry-optimized YInAu structure.

a = 8.3959 Å, b = 8.3959 Å, c = 3.4832 Å
α = 90.00°, β = 90.00°, γ = 120.00°
Closest atoms and distances in Å follow each position.
Positions (direct):
1 Au 0.6380 0.0000 0.0000  5 In 3.04-3.20, 6 Y 3.30-3.36
2 Au 0.3620 0.3620 0.0000  5 In 3.04-3.20, 6 Y 3.30-3.36
3 Au 0.0000 0.6380 0.0000  5 In 3.04-3.20, 6 Y 3.30-3.36
4 In 0.0000 0.0000 0.0000  6 Y 3.04, 3 Au 3.04
5 In 0.6667 0.3333 0.5000  3 Y 2.97, 6 Au 3.20
6 In 0.3333 0.6667 0.5000  3 Y 2.97, 6 Au 3.20
7 Y 0.2962 0.0000 0.5000  4 In 2.97-3.04, 4 Au 3.30
8 Y 0.0000 0.2962 0.5000  4 In 2.97-3.04, 4 Au 3.30
9 Y 0.7038 0.7038 0.5000  4 In 2.97-3.04, 4 Au 3.30

Properties
space group = P-62m
total energy = -0.3330 Ry per atom


No. 3
## KErAsO (PBE)

Data for a geometry-optimized KErAsO structure.

a = 5.7629 Å, b = 5.7629 Å, c = 5.1940 Å
α = 90.00°, β = 90.00°, γ = 90.00°
Closest atoms and distances in Å follow each position.
Positions (direct):
1 As 0.2500 0.2500 0.4952  2 K 2.60, 4 Er 2.88
2 As 0.7500 0.7500 0.5048  2 K 2.60, 4 Er 2.88
3 Er 0.7500 0.2500 0.5000  2 O 2.60, 4 As 2.88
4 Er 0.2500 0.7500 0.5000  2 O 2.60, 4 As 2.88
5 K 0.7500 0.7500 0.0045  2 As 2.60, 4 O 2.88
6 K 0.2500 0.2500 0.9955  2 As 2.60, 4 O 2.88
7 O 0.7500 0.2500 0.0000  2 Er 2.60, 4 K 2.88
8 O 0.2500 0.7500 0.0000  2 Er 2.60, 4 K 2.88

Properties
space group = P4/nmm
total energy = -0.3513 Ry per atom


No. 4
## TlFeMo4N2 (PBE)

Data for a geometry-optimized TlFeMo4N2 structure.

a = 2.9720 Å, b = 2.9720 Å, c = 14.2732 Å
α = 90.00°, β = 90.00°, γ = 120.00°
Closest atoms and distances in Å follow each position.
Positions (direct):
1 Fe 0.0000 0.0000 0.0000  6 Mo 2.69, 6 Fe 2.97
2 Mo 0.6667 0.3333 0.1452  3 N 2.15
3 Mo 0.0000 0.0000 0.3256  3 N 2.14
4 Mo 0.0000 0.0000 0.6744  3 N 2.14
5 Mo 0.6667 0.3333 0.8548  3 N 2.15
6 N 0.3333 0.6667 0.2361  6 Mo 2.14-2.15
7 N 0.3333 0.6667 0.7639  6 Mo 2.14-2.15
8 Tl 0.6667 0.3333 0.5000  6 Tl 2.97, 6 Mo 3.02

Properties
space group = P-6m2
total energy = -0.6348 Ry per atom


No. 5
## Y2Zn2Ge3 (PBE)

Data for a geometry-optimized Y2Zn2Ge3 structure.

a = 8.9377 Å, b = 8.9377 Å, c = 8.9377 Å
α = 28.89°, β = 28.89°, γ = 28.89°
Closest atoms and distances in Å follow each position.
Positions (direct):
1 Ge 0.3779 0.3779 0.3779  4 Zn 2.77-3.07, 3 Y 2.77
2 Ge 0.6350 0.6350 0.6350  3 Zn 2.74, 4 Y 2.91-2.99
3 Ge 0.8589 0.8589 0.8589  3 Zn 2.67, 4 Y 2.76-2.96
4 Y 0.2492 0.2492 0.2492  6 Ge 2.91-2.96
5 Y 0.7515 0.7515 0.7515  5 Ge 2.76-2.99
6 Zn 0.0051 0.0051 0.0051  6 Ge 2.74-2.77
7 Zn 0.4974 0.4974 0.4974  3 Ge 2.67

Properties
space group = R3m
total energy = -0.3285 Ry per atom


No. 6
## SnPtNO (PBE)

Data for a geometry-optimized SnPtNO structure.

a = 5.5944 Å, b = 7.7733 Å, c = 5.1864 Å
α = 90.00°, β = 90.00°, γ = 90.00°
Closest atoms and distances in Å follow each position.
Positions (direct):
1 N 0.8757 0.1622 0.2030  3 Pt 2.08-2.11, 1 Sn 2.30
2 N 0.3757 0.8378 0.2030  3 Pt 2.08-2.11, 1 Sn 2.30
3 N 0.6243 0.1622 0.7030  3 Pt 2.08-2.11, 1 Sn 2.30
4 N 0.1243 0.8378 0.7030  3 Pt 2.08-2.11, 1 Sn 2.30
5 O 0.3242 0.4596 0.0522  3 Sn 2.10-2.14
6 O 0.8242 0.5404 0.0522  3 Sn 2.10-2.14
7 O 0.1758 0.4596 0.5522  3 Sn 2.10-2.14
8 O 0.6758 0.5404 0.5522  3 Sn 2.10-2.14
9 Pt 0.5529 0.0561 0.0626  3 N 2.08-2.11
10 Pt 0.0529 0.9439 0.0626  3 N 2.08-2.11
11 Pt 0.9471 0.0561 0.5626  3 N 2.08-2.11
12 Pt 0.4471 0.9439 0.5626  3 N 2.08-2.11
13 Sn 0.4788 0.3395 0.3845  3 O 2.10-2.14, 1 N 2.30
14 Sn 0.9788 0.6605 0.3845  3 O 2.10-2.14, 1 N 2.30
15 Sn 0.0212 0.3395 0.8845  3 O 2.10-2.14, 1 N 2.30
16 Sn 0.5212 0.6605 0.8845  3 O 2.10-2.14, 1 N 2.30

Properties
space group = Pca2_1
total energy = -0.4374 Ry per atom


No. 7
## NaRe3P5 (PBE)

Data for a geometry-optimized NaRe3P5 structure.

a = 5.3344 Å, b = 5.3344 Å, c = 7.3071 Å
α = 90.00°, β = 90.00°, γ = 120.00°
Closest atoms and distances in Å follow each position.
Positions (direct):
1 Na 0.0000 0.0000 0.0000  14 P 3.53-3.65
2 P 0.6667 0.3333 0.2356  3 Re 2.47
3 P 0.3333 0.6667 0.2356  3 Re 2.47
4 P 0.0000 0.0000 0.5000  6 Re 2.67
5 P 0.6667 0.3333 0.7644  3 Re 2.47
6 P 0.3333 0.6667 0.7644  3 Re 2.47
7 Re 0.5000 0.0000 0.5000  6 P 2.47-2.67, 4 Re 2.67
8 Re 0.0000 0.5000 0.5000  6 P 2.47-2.67, 4 Re 2.67
9 Re 0.5000 0.5000 0.5000  6 P 2.47-2.67, 4 Re 2.67

Properties
space group = P6/mmm
total energy = -0.5154 Ry per atom


No. 8
## La3Pd2Au3 (PBE)

Data for a geometry-optimized La3Pd2Au3 structure.

a = 5.7518 Å, b = 5.7518 Å, c = 17.2493 Å
α = 90.00°, β = 90.00°, γ = 137.03°
Closest atoms and distances in Å follow each position.
Positions (direct):
1 Au 0.6298 0.3702 0.0322  3 Pd 2.79-3.11, 1 Au 2.99
2 Au 0.3838 0.6162 0.2500  2 Pd 2.82, 1 La 2.99
3 Au 0.6298 0.3702 0.4678  3 Pd 2.79-3.11, 1 Au 2.99
4 Au 0.3702 0.6298 0.5322  3 Pd 2.79-3.11, 1 Au 2.99
5 Au 0.6162 0.3838 0.7500  2 Pd 2.82, 1 La 2.99
6 Au 0.3702 0.6298 0.9678  3 Pd 2.79-3.11, 1 Au 2.99
7 La 0.9264 0.0736 0.1012  3 Pd 3.07-3.17, 7 Au 3.18-3.39
8 La 0.6628 0.3372 0.2500  3 Au 2.99-3.17, 4 Pd 3.11
9 La 0.9264 0.0736 0.3988  3 Pd 3.07-3.17, 7 Au 3.18-3.39
10 La 0.0736 0.9264 0.6012  3 Pd 3.07-3.17, 7 Au 3.18-3.39
11 La 0.3372 0.6628 0.7500  3 Au 2.99-3.17, 4 Pd 3.11
12 La 0.0736 0.9264 0.8988  3 Pd 3.07-3.17, 7 Au 3.18-3.39
13 Pd 0.2202 0.7798 0.1220  4 Au 2.79-3.11, 4 La 3.07-3.11
14 Pd 0.2202 0.7798 0.3780  4 Au 2.79-3.11, 4 La 3.07-3.11
15 Pd 0.7798 0.2202 0.6220  4 Au 2.79-3.11, 4 La 3.07-3.11
16 Pd 0.7798 0.2202 0.8780  4 Au 2.79-3.11, 4 La 3.07-3.11

Properties
energy of formation = -0.8555 eV per atom
space group = Cmcm
total energy = -0.3837 Ry per atom


What did the fourth record say?
## TlFeMo4N2 (PBE)

Data for a geometry-optimized TlFeMo4N2 structure.

a = 2.9720 Å, b = 2.9720 Å, c = 14.2732 Å
α = 90.00°, β = 90.00°, γ = 120.00°
Closest atoms and distances in Å follow each position.
Positions (direct):
1 Fe 0.0000 0.0000 0.0000  6 Mo 2.69, 6 Fe 2.97
2 Mo 0.6667 0.3333 0.1452  3 N 2.15
3 Mo 0.0000 0.0000 0.3256  3 N 2.14
4 Mo 0.0000 0.0000 0.6744  3 N 2.14
5 Mo 0.6667 0.3333 0.8548  3 N 2.15
6 N 0.3333 0.6667 0.2361  6 Mo 2.14-2.15
7 N 0.3333 0.6667 0.7639  6 Mo 2.14-2.15
8 Tl 0.6667 0.3333 0.5000  6 Tl 2.97, 6 Mo 3.02

Properties
space group = P-6m2
total energy = -0.6348 Ry per atom


Q: Number 4 is which compound?
A: TlFeMo4N2